Hf3SnPt: optimized geometry, PBE.

Unit cell a=5.0509 b=5.0509 c=5.0509 alpha=90.00 beta=90.00 gamma=90.00
With the nearest neighbours (Å) after each atom.
Positions (direct):
Hf 0.0000 0.5000 0.0000  2 Pt 2.53
Hf 0.0000 0.0000 0.5000  2 Pt 2.53
Hf 0.5000 0.0000 0.0000  2 Pt 2.53
Sn 0.5000 0.5000 0.5000  12 Hf 3.57
Pt 0.0000 0.0000 0.0000  6 Hf 2.53

Properties
Final energy, eV/atom: -7.99
Formation energy from the elements, meV/atom: -7.2
Magnetic moment, Bohr magnetons per cell: 0.0
ρ, g cm⁻³: 10.944

=====

Hf8SnPt2: optimized geometry, PBE.

Unit cell a=4.9329 b=7.5689 c=7.5689 alpha=116.76 beta=99.30 gamma=99.30
With the nearest neighbours (Å) after each atom.
Positions (direct):
Hf 0.9044 0.9127 0.6818  2 Pt 2.72-2.93, 1 Hf 2.98
Hf 0.9044 0.6818 0.9127  2 Pt 2.72-2.93, 1 Hf 2.98
Hf 0.3076 0.6034 0.6034  2 Hf 2.87-2.97, 2 Pt 2.87, 1 Sn 2.99
Hf 0.5000 0.7654 0.2346  2 Pt 2.65
Hf 0.5000 0.2346 0.7654  2 Pt 2.65
Hf 0.6924 0.3966 0.3966  2 Hf 2.87-2.97, 2 Pt 2.87, 1 Sn 2.99
Hf 0.0956 0.3182 0.0873  2 Pt 2.72-2.93, 1 Hf 2.98
Hf 0.0956 0.0873 0.3182  2 Pt 2.72-2.93, 1 Hf 2.98
Sn 0.5000 0.0000 0.0000  12 Hf 2.99-3.28
Pt 0.0000 0.3096 0.6904  8 Hf 2.65-2.93
Pt 0.0000 0.6904 0.3096  8 Hf 2.65-2.93

Properties
Final energy, eV/atom: -9.04
Formation energy from the elements, meV/atom: -334.8
Magnetic moment, Bohr magnetons per cell: 0.0
ρ, g cm⁻³: 13.397

=====

Sr2HfPt: optimized geometry, PBE.

Unit cell a=11.2547 b=11.2547 c=8.3501 alpha=47.63 beta=47.63 gamma=90.00
With the nearest neighbours (Å) after each atom.
Positions (direct):
Sr 0.7785 0.1250 0.2500  2 Pt 3.08
Sr 0.9715 0.6250 0.2500  2 Pt 3.08
Sr 0.3750 0.2215 0.7500  2 Pt 3.08
Sr 0.8750 0.0285 0.7500  2 Pt 3.08
Hf 0.5000 0.5000 0.0000  2 Pt 2.53
Hf 0.2500 0.7500 0.5000  2 Pt 2.53
Pt 0.0000 0.0000 0.0000  2 Hf 2.53
Pt 0.7500 0.2500 0.5000  2 Hf 2.53

Properties
Final energy, eV/atom: -4.82
Formation energy from the elements, meV/atom: 19.7
Magnetic moment, Bohr magnetons per cell: 0.0
ρ, g cm⁻³: 5.693

=====

SrHfPt3: optimized geometry, PBE.

Unit cell a=5.0369 b=5.0369 c=5.0369 alpha=90.00 beta=90.00 gamma=90.00
With the nearest neighbours (Å) after each atom.
Positions (direct):
Sr 0.5000 0.5000 0.5000  12 Pt 3.56
Hf 0.0000 0.0000 0.0000  6 Pt 2.52
Pt 0.0000 0.5000 0.0000  2 Hf 2.52
Pt 0.0000 0.0000 0.5000  2 Hf 2.52
Pt 0.5000 0.0000 0.0000  2 Hf 2.52

Properties
Final energy, eV/atom: -6.27
Formation energy from the elements, meV/atom: -322.0
Magnetic moment, Bohr magnetons per cell: 0.0
ρ, g cm⁻³: 11.063

=====

- Which value of formation energy from the elements does entry 4 give?
  -322.0 meV/atom

=====

- Which formula does entry 4 have?
  SrHfPt3

=====

- Which of these has the highest final energy?
  Sr2HfPt

=====

- Which value of magnetic moment does entry 1 give?
  0.0 Bohr magnetons per cell